VASP calculation (PBE) on an optimized crystal structure of AcLaUN3.

```
12
Lattice="3.8048 0.0000 0.0000 0.0000 7.9317 0.9082 0.0000 -2.1484 8.4324" Properties=species:S:1:pos:R:3 pbc="T T T"
Ac 2.8536 4.7399 7.9874
Ac 0.9512 1.0435 1.3532
La 0.9512 4.5495 1.9346
La 2.8536 1.2339 7.4060
U 0.9512 -0.7923 5.0635
U 2.8536 6.5756 4.2771
N 0.9512 5.4317 4.2939
N 2.8536 6.8264 2.1475
N 2.8536 2.8568 1.2983
N 2.8536 0.3516 5.0467
N 0.9512 2.9265 8.0423
N 0.9512 -1.0431 7.1931
```

Results
Energy relative to the elements, uncorrected: -1.00 eV/atom

---

VASP calculation (PBE) on an optimized crystal structure of AcLaUN4.

```
14
Lattice="6.0612 0.0000 0.0000 0.0000 6.0639 0.0000 -3.0306 0.0000 6.5868" Properties=species:S:1:pos:R:3 pbc="T T T"
Ac 0.0000 1.5160 1.3506
Ac 3.0306 4.5480 5.2362
La 3.0306 4.5480 1.3180
La 0.0000 1.5160 5.2688
U 0.0000 4.5480 3.3077
U 3.0306 1.5160 3.2790
N 3.0306 1.5160 5.4621
N 0.0000 4.5480 5.5653
N 0.0000 4.5480 1.1247
N 3.0306 1.5160 1.0215
N 1.5153 3.0320 3.2934
N -1.5153 0.0000 3.2934
N 1.5153 0.0000 3.2934
N -1.5153 3.0320 3.2934
```

Results
Energy relative to the elements, uncorrected: -1.35 eV/atom

---

VASP calculation (PBE) on an optimized crystal structure of Ac2La3UN6.

```
12
Lattice="6.5138 -0.0173 0.0044 -3.2703 5.6334 0.0044 -1.0777 -1.8661 6.0231" Properties=species:S:1:pos:R:3 pbc="T T T"
Ac -0.0147 3.7531 0.0044
Ac 3.2582 1.8630 0.0044
La -2.2430 3.7958 3.0159
La 4.4088 -0.0458 3.0159
La 1.0829 1.8750 3.0159
U 0.0000 0.0000 0.0000
N 3.0682 2.1774 4.6848
N 2.3001 3.9826 1.4406
N -0.9024 1.5726 1.3470
N 0.3527 3.7458 4.6848
N -0.1343 -0.2325 4.5912
N 1.8131 0.0042 1.3470
```

Results
Energy relative to the elements, uncorrected: -1.30 eV/atom

---

VASP calculation (PBE) on an optimized crystal structure of AcLaVN3.

```
12
Lattice="-2.1010 -0.5094 -3.3321 6.8033 0.2534 -1.9612 -1.2283 -7.0898 1.8584" Properties=species:S:1:pos:R:3 pbc="T T T"
Ac 2.9756 -6.5765 -0.8708
Ac 0.4984 -0.7693 -2.5640
La -0.0735 -4.3079 -1.6624
La 3.5475 -3.0379 -1.7724
V 4.3674 -2.1630 -4.7906
V -0.8934 -5.1828 1.3557
N 2.7518 -1.5352 -3.8678
N 2.1367 -4.9935 -2.9513
N -1.3729 -2.1380 -1.1749
N 1.3373 -2.3523 -0.4836
N 4.8469 -5.2078 -2.2600
N 0.7222 -5.8106 0.4330
```

Results
Energy relative to the elements, uncorrected: -1.16 eV/atom

---

VASP calculation (PBE) on an optimized crystal structure of Ac2LaVN4.

```
16
Lattice="-2.5201 -2.3731 -0.9246 0.8645 -0.6774 6.3249 -9.2353 8.9425 2.2200" Properties=species:S:1:pos:R:3 pbc="T T T"
Ac -5.3100 3.4988 5.4933
Ac -1.7696 -1.2973 1.2108
Ac -5.5809 2.3932 2.1270
Ac -9.1213 7.1892 6.4095
La -6.9954 6.3820 2.6867
La -3.8955 -0.4900 4.9336
V -8.4365 4.3422 4.9080
V -2.4544 1.5497 2.7123
N -1.5537 0.2574 3.5744
N -7.3879 3.7471 3.5774
N -9.3372 5.6345 4.0459
N -3.5030 2.1449 4.0429
N -4.6176 4.4712 1.1100
N 0.0000 0.0000 0.0000
N -7.2448 5.2069 6.3827
N -3.6461 0.6851 1.2376
```

Results
Energy relative to the elements, uncorrected: -0.99 eV/atom

---

VASP calculation (PBE) on an optimized crystal structure of Ac4La3VN8.

```
16
Lattice="-1.0493 5.0280 5.2902 0.6880 -5.2881 5.1625 5.5061 1.0295 -5.0250" Properties=species:S:1:pos:R:3 pbc="T T T"
Ac -0.5246 2.5140 2.6451
Ac 2.2284 3.0288 0.1326
Ac 0.0000 0.0000 0.0000
Ac 2.7531 0.5148 -2.5125
La -0.1807 -0.1300 5.2263
La 2.5724 0.3847 2.7139
La 3.0971 -2.1293 0.0688
V 0.3440 -2.6441 2.5812
N 5.7492 -1.6480 -0.2123
N 3.1830 -2.1237 2.6498
N 2.7122 0.4103 0.1480
N 5.1531 1.2082 2.7928
N -0.0083 -0.4387 2.6349
N 2.4327 0.3592 5.2797
N 1.9618 2.8931 2.7779
N -0.6044 2.4174 5.6400
```

Results
Energy relative to the elements, uncorrected: -0.95 eV/atom

---

VASP calculation (PBE) on an optimized crystal structure of AcLaWN4.

```
14
Lattice="-5.0195 -1.0579 2.4629 2.6355 -0.9457 4.9651 1.9225 6.8389 0.2821" Properties=species:S:1:pos:R:3 pbc="T T T"
Ac -0.6573 0.0962 5.2753
Ac 0.1958 4.7392 2.4347
La 0.5367 1.0768 1.5563
La -0.9982 3.7585 6.1538
W 1.6798 2.4804 4.4889
W -2.1413 2.3549 3.2212
N -2.3384 4.4729 3.7292
N 1.4978 4.4352 4.9578
N 1.8769 0.3624 3.9809
N -1.9594 0.4002 2.7523
N -0.2308 2.4177 3.8550
N 0.9613 3.4195 0.1411
N -1.5485 2.8905 1.3725
N 2.2790 2.9466 2.6236
```

Results
Energy relative to the elements, uncorrected: -1.08 eV/atom

---

VASP calculation (PBE) on an optimized crystal structure of AcLa2WN4.

```
16
Lattice="-1.3076 0.4239 -3.3007 4.7322 -4.4997 -0.5159 -8.5224 -9.2143 2.1928" Properties=species:S:1:pos:R:3 pbc="T T T"
Ac -5.7340 -7.6022 1.2953
Ac 0.6363 -5.6879 -2.9191
La -1.5780 -8.1389 -0.4201
La 0.0747 -1.2648 -2.1286
La -3.5198 -5.1512 -1.2037
La -5.1725 -12.0253 0.5048
W -4.4219 -9.4571 -1.3993
W -0.6758 -3.8330 -0.2245
N 1.0678 -3.5095 -0.8737
N -4.1429 -7.5938 -1.2706
N -6.1655 -9.7806 -0.7501
N -0.9548 -5.6963 -0.3533
N -4.2612 -4.6071 1.0964
N 0.0000 0.0000 0.0000
N -3.0144 -10.4614 -0.1493
N -2.0833 -2.8287 -1.4745
```

Results
Energy relative to the elements, uncorrected: -0.95 eV/atom

---

VASP calculation (PBE) on an optimized crystal structure of AcLa2ZnN.

```
5
Lattice="5.0845 0.0000 0.0000 0.0000 5.0845 0.0000 0.0000 0.0002 5.3132" Properties=species:S:1:pos:R:3 pbc="T T T"
Ac 0.0000 5.0845 2.6556
La 0.0000 2.5424 5.3126
La 2.5423 5.0846 5.3128
Zn 2.5423 2.5425 2.6595
N 0.0000 0.0002 5.3124
```

Results
Energy relative to the elements, uncorrected: -0.59 eV/atom

---

VASP calculation (PBE) on an optimized crystal structure of NaAc2La.

```
4
Lattice="-2.8153 2.0457 1.9582 -2.5457 -5.4699 2.0546 3.7349 0.2002 5.1606" Properties=species:S:1:pos:R:3 pbc="T T T"
Na -1.4076 1.0229 0.9791
Ac 1.8675 0.1001 2.5803
Ac -1.2728 -2.7349 1.0273
La -0.8130 -1.6120 4.5867
```

Results
Offset from the most stable computed form: 63.5 meV per atom
ΔE_f: 140 meV/atom

---

VASP calculation (PBE) on an optimized crystal structure of Na4AcLa.

```
6
Lattice="-1.2420 -5.5918 3.6323 3.5676 -5.6529 -1.1498 4.5231 -2.1454 4.5764" Properties=species:S:1:pos:R:3 pbc="T T T"
Na 2.0142 -7.2981 2.1190
Na 2.4935 -5.5385 4.9916
Na 4.2833 -8.3744 4.4148
Na 4.9064 -5.5692 2.5926
Ac 1.7122 -3.3475 1.7647
La 0.0000 0.0000 0.0000
```

Results
ΔE_f: 208 meV/atom

---

VASP calculation (PBE) on an optimized crystal structure of NaAc2La.

```
4
Lattice="-2.7165 0.6279 -2.6875 0.7989 -3.6143 1.1381 -9.1619 0.9618 9.4853" Properties=species:S:1:pos:R:3 pbc="T T T"
Na -6.3341 -0.2834 3.5461
Ac -3.7489 -0.5548 0.8697
Ac -7.4597 -1.4563 7.1999
La -0.0748 0.0078 0.0774
```

Results
Offset from the most stable computed form: 23.4 meV per atom
ΔE_f: 100 meV/atom

---

Raw total energy across the listed records, respectively: -8.550, -9.008, -8.316, -8.351, -7.937, -7.636, -8.981, -8.473, -5.303, -3.476, -2.177, -3.516 eV/atom.